A plane-wave DFT calculation with PBE was carried out for a relaxed structure of Zn2Ni3Pt3.

Calculated formation energy ... -266 meV/atom
Magnetic moment ... 0.2708 μB/atom
E_tot ... -5.0180 eV per atom

Cell lengths 3.863, 3.868, 7.214 Å; angles 90.00, 90.00, 90.00 degrees
Space group Pmmm (No. 47)
Symmetry-distinct sites (fractional):
Zn (0.000, 0.000, 0.244) (multiplicity 2)
Ni (0.000, 0.500, 0.000) (multiplicity 1)
Ni (0.500, 0.500, 0.243) (multiplicity 2)
Pt (0.000, 0.500, 0.500) (multiplicity 1)
Pt (0.500, 0.000, 0.000) (multiplicity 1)
Pt (0.500, 0.000, 0.500) (multiplicity 1)

***

A plane-wave DFT calculation with PBE was carried out for a relaxed structure of CsCrAu.

Calculated formation energy ... 594 meV/atom
Magnetic moment ... 0.0000 μB/atom
E_tot ... -3.9911 eV per atom
Relative energy among the computed polymorphs ... 0.00 eV/f.u.

Cell lengths 9.413, 3.274, 12.008 Å; angles 90.00, 90.00, 90.00 degrees
Space group Pnma (No. 62)
Symmetry-distinct sites (fractional):
Cs (0.081, 0.250, 0.177) (multiplicity 4)
Cr (0.064, 0.250, 0.526) (multiplicity 4)
Au (0.237, 0.750, 0.417) (multiplicity 4)

***

A plane-wave DFT calculation with PBE was carried out for a relaxed structure of Fe2Ru.

Calculated formation energy ... 128 meV/atom
Magnetic moment ... 0.1362 μB/atom
E_tot ... -8.6055 eV per atom

Cell lengths 9.286, 2.601, 6.042 Å; angles 90.00, 103.44, 90.00 degrees
Space group Cm (No. 8)
Symmetry-distinct sites (fractional):
Fe (0.000, 0.000, 0.000) (multiplicity 2)
Fe (0.057, 0.000, 0.615) (multiplicity 2)
Fe (0.170, 0.500, 0.343) (multiplicity 2)
Fe (0.339, 0.000, 0.672) (multiplicity 2)
Ru (0.220, 0.500, 0.942) (multiplicity 2)
Ru (0.395, 0.000, 0.286) (multiplicity 2)

***

A plane-wave DFT calculation with PBE was carried out for a relaxed structure of TaReAs2.

Calculated formation energy ... 97 meV/atom
Magnetic moment ... 0.0000 μB/atom
E_tot ... -8.3029 eV per atom
Relative energy among the computed polymorphs ... 0.76 eV/f.u.

Cell lengths 6.301, 6.301, 6.301 Å; angles 90.00, 90.00, 90.00 degrees
Space group Fm-3m (No. 225)
Symmetry-distinct sites (fractional):
Ta (0.000, 0.000, 0.000) (multiplicity 4)
Re (0.000, 0.000, 0.500) (multiplicity 4)
As (0.250, 0.250, 0.250) (multiplicity 8)

***

A plane-wave DFT calculation with PBE was carried out for a relaxed structure of VB.

Calculated formation energy ... -210 meV/atom
Magnetic moment ... 0.0000 μB/atom
E_tot ... -8.1082 eV per atom

Cell lengths 5.968, 5.968, 4.422 Å; angles 90.00, 90.00, 90.00 degrees
Space group I4/m (No. 87)
Symmetry-distinct sites (fractional):
V (0.066, 0.695, 0.000) (multiplicity 8)
B (0.070, 0.803, 0.500) (multiplicity 8)

***

A plane-wave DFT calculation with PBE was carried out for a relaxed structure of SrTc2Ir.

Calculated formation energy ... 863 meV/atom
Magnetic moment ... 0.0082 μB/atom
E_tot ... -6.9557 eV per atom
Relative energy among the computed polymorphs ... 1.93 eV/f.u.

Cell lengths 5.569, 9.239, 2.732 Å; angles 90.00, 90.00, 90.00 degrees
Space group Cmmm (No. 65)
Symmetry-distinct sites (fractional):
Sr (0.000, 0.000, 0.000) (multiplicity 2)
Tc (0.250, 0.250, 0.500) (multiplicity 4)
Ir (0.000, 0.500, 0.000) (multiplicity 2)

***

A plane-wave DFT calculation with PBE was carried out for a relaxed structure of Pm5Dy2Y6.

Calculated formation energy ... 94 meV/atom
Magnetic moment ... 0.0000 μB/atom
E_tot ... -5.4249 eV per atom

Cell lengths 11.728, 20.597, 3.602 Å; angles 90.00, 90.00, 90.00 degrees
Space group Pbam (No. 55)
Symmetry-distinct sites (fractional):
Pm (0.000, 0.000, 0.000) (multiplicity 2)
Pm (0.085, 0.272, 0.000) (multiplicity 4)
Pm (0.200, 0.549, 0.000) (multiplicity 4)
Dy (0.170, 0.710, 0.500) (multiplicity 4)
Y (0.059, 0.418, 0.500) (multiplicity 4)
Y (0.082, 0.131, 0.500) (multiplicity 4)
Y (0.175, 0.862, 0.000) (multiplicity 4)

***

A plane-wave DFT calculation with PBE was carried out for a relaxed structure of BeZnCl2.

Magnetic moment ... 0.0002 μB/atom
E_tot ... -1.6182 eV per atom
ΔE_f (raw) ... 0.5552 eV per atom
Relative energy among the computed polymorphs ... 4.86 eV/f.u.

Cell lengths 6.724, 6.724, 6.724 Å; angles 90.00, 90.00, 90.00 degrees
Space group F-43m (No. 216)
Symmetry-distinct sites (fractional):
Be (0.000, 0.000, 0.000) (multiplicity 4)
Zn (0.250, 0.250, 0.250) (multiplicity 4)
Cl (0.000, 0.000, 0.500) (multiplicity 4)
Cl (0.250, 0.250, 0.750) (multiplicity 4)

***

A plane-wave DFT calculation with PBE was carried out for a relaxed structure of LiCa2Ge4Rh3.

Calculated formation energy ... -638 meV/atom
Magnetic moment ... 0.0000 μB/atom
E_tot ... -5.2822 eV per atom

Cell lengths 4.355, 4.355, 9.755 Å; angles 90.00, 90.00, 90.00 degrees
Space group P-4m2 (No. 115)
Symmetry-distinct sites (fractional):
Li (0.000, 0.000, 0.000) (multiplicity 1)
Ca (0.000, 0.500, 0.749) (multiplicity 2)
Ge (0.000, 0.000, 0.500) (multiplicity 1)
Ge (0.000, 0.500, 0.124) (multiplicity 2)
Ge (0.500, 0.500, 0.500) (multiplicity 1)
Rh (0.000, 0.500, 0.373) (multiplicity 2)
Rh (0.500, 0.500, 0.000) (multiplicity 1)

***

A plane-wave DFT calculation with PBE was carried out for a relaxed structure of CaCrP4.

Calculated formation energy ... 221 meV/atom
Magnetic moment ... 0.7478 μB/atom
E_tot ... -5.3231 eV per atom

Cell lengths 7.462, 7.462, 7.462 Å; angles 90.00, 90.00, 90.00 degrees
Space group F-43m (No. 216)
Symmetry-distinct sites (fractional):
Ca (0.000, 0.000, 0.000) (multiplicity 4)
Cr (0.250, 0.250, 0.750) (multiplicity 4)
P (0.119, 0.119, 0.381) (multiplicity 16)

***

A plane-wave DFT calculation with PBE was carried out for a relaxed structure of TlSiSb2.

Magnetic moment ... 0.0000 μB/atom
E_tot ... -3.5861 eV per atom
ΔE_f (raw) ... 0.4224 eV per atom
Relative energy among the computed polymorphs ... 0.99 eV/f.u.

Cell lengths 7.399, 7.399, 7.399 Å; angles 90.00, 90.00, 90.00 degrees
Space group F-43m (No. 216)
Symmetry-distinct sites (fractional):
Tl (0.000, 0.000, 0.000) (multiplicity 4)
Si (0.250, 0.250, 0.750) (multiplicity 4)
Sb (0.000, 0.000, 0.500) (multiplicity 4)
Sb (0.250, 0.250, 0.250) (multiplicity 4)

***

A plane-wave DFT calculation with PBE was carried out for a relaxed structure of ZrAlOs2.

Calculated formation energy ... -157 meV/atom
Magnetic moment ... 0.0000 μB/atom
E_tot ... -8.8447 eV per atom

Cell lengths 3.176, 4.814, 8.435 Å; angles 90.00, 90.00, 90.00 degrees
Space group Immm (No. 71)
Symmetry-distinct sites (fractional):
Zr (0.000, 0.000, 0.000) (multiplicity 2)
Al (0.000, 0.000, 0.500) (multiplicity 2)
Os (0.000, 0.500, 0.240) (multiplicity 4)

***

A plane-wave DFT calculation with PBE was carried out for a relaxed structure of BeCu2As.

Calculated formation energy ... 116 meV/atom
Magnetic moment ... 0.0000 μB/atom
E_tot ... -4.0256 eV per atom
Relative energy among the computed polymorphs ... 0.00 eV/f.u.

Cell lengths 2.967, 3.949, 4.858 Å; angles 90.00, 107.46, 90.00 degrees
Space group Pm (No. 6)
Symmetry-distinct sites (fractional):
Be (0.000, 0.000, 0.000) (multiplicity 1)
Cu (0.304, 0.000, 0.607) (multiplicity 1)
Cu (0.860, 0.500, 0.719) (multiplicity 1)
As (0.134, 0.500, 0.261) (multiplicity 1)

***

A plane-wave DFT calculation with PBE was carried out for a relaxed structure of La3Pu2Ru3.

Calculated formation energy ... -194 meV/atom
Magnetic moment ... 1.2227 μB/atom
E_tot ... -9.1028 eV per atom

Cell lengths 4.213, 12.542, 15.087 Å; angles 90.00, 90.00, 90.00 degrees
Space group Cmcm (No. 63)
Symmetry-distinct sites (fractional):
La (0.000, 0.066, 0.121) (multiplicity 8)
La (0.000, 0.357, 0.250) (multiplicity 4)
Pu (0.000, 0.219, 0.584) (multiplicity 8)
Ru (0.000, 0.306, 0.750) (multiplicity 4)
Ru (0.000, 0.396, 0.036) (multiplicity 8)

***

A plane-wave DFT calculation with PBE was carried out for a relaxed structure of Rb2PrSbS4.

Magnetic moment ... 0.0000 μB/atom
E_tot ... -4.6167 eV per atom
ΔE_f (raw) ... -1.1983 eV per atom

Cell lengths 8.639, 8.722, 12.271 Å; angles 90.00, 90.00, 90.00 degrees
Space group Imma (No. 74)
Symmetry-distinct sites (fractional):
Rb (0.000, 0.000, 0.000) (multiplicity 4)
Rb (0.250, 0.250, 0.250) (multiplicity 4)
Pr (0.000, 0.000, 0.500) (multiplicity 4)
Sb (0.250, 0.250, 0.750) (multiplicity 4)
S (0.000, 0.036, 0.735) (multiplicity 8)
S (0.220, 0.250, 0.520) (multiplicity 8)

***

A plane-wave DFT calculation with PBE was carried out for a relaxed structure of Cu3N.

Magnetic moment ... 0.0000 μB/atom
E_tot ... -4.8706 eV per atom
ΔE_f (raw) ... 0.2829 eV per atom

Cell lengths 3.820, 3.820, 3.820 Å; angles 90.00, 90.00, 90.00 degrees
Space group Pm-3m (No. 221)
Symmetry-distinct sites (fractional):
Cu (0.000, 0.000, 0.500) (multiplicity 3)
N (0.000, 0.000, 0.000) (multiplicity 1)

***

A plane-wave DFT calculation with PBE was carried out for a relaxed structure of PrDy7Tl2.

Calculated formation energy ... 358 meV/atom
Magnetic moment ... 0.2125 μB/atom
E_tot ... -3.8149 eV per atom

Cell lengths 9.167, 15.312, 5.506 Å; angles 90.00, 90.00, 90.00 degrees
Space group Cmmm (No. 65)
Symmetry-distinct sites (fractional):
Pr (0.000, 0.000, 0.000) (multiplicity 2)
Dy (0.000, 0.233, 0.000) (multiplicity 4)
Dy (0.000, 0.500, 0.500) (multiplicity 2)
Dy (0.181, 0.122, 0.500) (multiplicity 8)
Tl (0.000, 0.304, 0.500) (multiplicity 4)

***

A plane-wave DFT calculation with PBE was carried out for a relaxed structure of K4OsAu.

Calculated formation energy ... 1193 meV/atom
Magnetic moment ... 0.3985 μB/atom
E_tot ... -1.9562 eV per atom

Cell lengths 9.365, 9.365, 9.365 Å; angles 90.00, 90.00, 90.00 degrees
Space group F-43m (No. 216)
Symmetry-distinct sites (fractional):
K (0.125, 0.125, 0.125) (multiplicity 16)
Os (0.250, 0.250, 0.750) (multiplicity 4)
Au (0.000, 0.000, 0.500) (multiplicity 4)

***

A plane-wave DFT calculation with PBE was carried out for a relaxed structure of SrSi2Ag.

Magnetic moment ... 0.0000 μB/atom
E_tot ... -3.9756 eV per atom
ΔE_f (raw) ... -0.1308 eV per atom

Cell lengths 3.785, 4.344, 11.427 Å; angles 90.00, 90.00, 90.00 degrees
Space group Imm2 (No. 44)
Symmetry-distinct sites (fractional):
Sr (0.000, 0.000, 0.000) (multiplicity 2)
Si (0.000, 0.000, 0.633) (multiplicity 2)
Si (0.000, 0.500, 0.268) (multiplicity 2)
Ag (0.000, 0.500, 0.755) (multiplicity 2)

***

A plane-wave DFT calculation with PBE was carried out for a relaxed structure of Tl2Sn5Pd12.

Calculated formation energy ... -314 meV/atom
Magnetic moment ... 0.0000 μB/atom
E_tot ... -4.8959 eV per atom

Cell lengths 15.194, 5.707, 9.135 Å; angles 90.00, 107.49, 90.00 degrees
Space group C2/m (No. 12)
Symmetry-distinct sites (fractional):
Tl (0.000, 0.245, 0.000) (multiplicity 4)
Sn (0.000, 0.000, 0.500) (multiplicity 2)
Sn (0.153, 0.500, 0.851) (multiplicity 4)
Sn (0.187, 0.500, 0.359) (multiplicity 4)
Pd (0.011, 0.500, 0.355) (multiplicity 4)
Pd (0.120, 0.000, 0.319) (multiplicity 4)
Pd (0.158, 0.253, 0.601) (multiplicity 8)
Pd (0.192, 0.247, 0.109) (multiplicity 8)